(1)
The following is a PBE-GGA calculation of a relaxed InHg3OsS4 crystal, from the Open Quantum Materials Database.

Theoretical density   4.38 g/cm³
Calculated volume   392 Å³ per cell

The structure in CIF format:
```
data_InHg3OsS4
_chemical_formula_sum 'In1 Hg3 Os1 S4'
_space_group_name_H-M_alt 'P 1'
_space_group_IT_number 1
_space_group_name_Hall 'P 1'
_cell_length_a 7.3206
_cell_length_b 7.3206
_cell_length_c 7.3206
_cell_angle_alpha 90.00
_cell_angle_beta 90.00
_cell_angle_gamma 90.00
loop_
_atom_site_label
_atom_site_type_symbol
_atom_site_fract_x
_atom_site_fract_y
_atom_site_fract_z
_atom_site_occupancy
Hg1 Hg 0.5000 0.5000 0.0000 1
Hg2 Hg 0.5000 0.0000 0.5000 1
Hg3 Hg 0.0000 0.5000 0.5000 1
In1 In 0.0000 0.0000 0.0000 1
Os1 Os 0.5000 0.5000 0.5000 1
S1 S 0.3287 0.3287 0.3287 1
S2 S 0.6713 0.6713 0.3287 1
S3 S 0.6713 0.3287 0.6713 1
S4 S 0.3287 0.6713 0.6713 1
```



(2)
The following is a PBE-GGA calculation of a relaxed InHg3OsSe4 crystal, from the Open Quantum Materials Database.

Theoretical density   5.23 g/cm³
Calculated volume   388 Å³ per cell

The structure in CIF format:
```
data_InHg3OsSe4
_chemical_formula_sum 'In1 Hg3 Os1 Se4'
_space_group_name_H-M_alt 'P 1'
_space_group_IT_number 1
_space_group_name_Hall 'P 1'
_cell_length_a 7.2945
_cell_length_b 7.2945
_cell_length_c 7.2945
_cell_angle_alpha 90.00
_cell_angle_beta 90.00
_cell_angle_gamma 90.00
loop_
_atom_site_label
_atom_site_type_symbol
_atom_site_fract_x
_atom_site_fract_y
_atom_site_fract_z
_atom_site_occupancy
Hg1 Hg 0.5000 0.5000 0.0000 1
Hg2 Hg 0.5000 0.0000 0.5000 1
Hg3 Hg 0.0000 0.5000 0.5000 1
In1 In 0.0000 0.0000 0.0000 1
Os1 Os 0.5000 0.5000 0.5000 1
Se1 Se 0.3164 0.3164 0.3164 1
Se2 Se 0.6836 0.6836 0.3164 1
Se3 Se 0.6836 0.3164 0.6836 1
Se4 Se 0.3164 0.6836 0.6836 1
```



(3)
The following is a PBE-GGA calculation of a relaxed In2HgPb crystal, from the Open Quantum Materials Database.

Theoretical density   9.77 g/cm³
Calculated volume   108 Å³ per cell

The structure in CIF format:
```
data_In2HgPb
_chemical_formula_sum 'In2 Hg1 Pb1'
_space_group_name_H-M_alt 'P 1'
_space_group_IT_number 1
_space_group_name_Hall 'P 1'
_cell_length_a 5.3519
_cell_length_b 5.3519
_cell_length_c 5.3519
_cell_angle_alpha 60.00
_cell_angle_beta 60.00
_cell_angle_gamma 60.00
loop_
_atom_site_label
_atom_site_type_symbol
_atom_site_fract_x
_atom_site_fract_y
_atom_site_fract_z
_atom_site_occupancy
Hg1 Hg 0.5000 0.5000 0.5000 1
In1 In 0.0000 0.0000 0.0000 1
In2 In 0.2500 0.2500 0.2500 1
Pb1 Pb 0.7500 0.7500 0.7500 1
```



(4)
The following is a PBE-GGA calculation of a relaxed InHg3PbSe4 crystal, from the Open Quantum Materials Database.

Theoretical density   6.85 g/cm³
Calculated volume   301 Å³ per cell

The structure in CIF format:
```
data_InHg3PbSe4
_chemical_formula_sum 'In1 Hg3 Pb1 Se4'
_space_group_name_H-M_alt 'P 1'
_space_group_IT_number 1
_space_group_name_Hall 'P 1'
_cell_length_a 6.6991
_cell_length_b 6.6991
_cell_length_c 6.6991
_cell_angle_alpha 90.00
_cell_angle_beta 90.00
_cell_angle_gamma 90.00
loop_
_atom_site_label
_atom_site_type_symbol
_atom_site_fract_x
_atom_site_fract_y
_atom_site_fract_z
_atom_site_occupancy
Hg1 Hg 0.5000 0.5000 0.0000 1
Hg2 Hg 0.5000 0.0000 0.5000 1
Hg3 Hg 0.0000 0.5000 0.5000 1
In1 In 0.0000 0.0000 0.0000 1
Pb1 Pb 0.5000 0.5000 0.5000 1
Se1 Se 0.2465 0.2465 0.2465 1
Se2 Se 0.7535 0.7535 0.2465 1
Se3 Se 0.7535 0.2465 0.7535 1
Se4 Se 0.2465 0.7535 0.7535 1
```



(5)
The following is a PBE-GGA calculation of a relaxed InHg3Te4Pb crystal, from the Open Quantum Materials Database.

Theoretical density   6.67 g/cm³
Calculated volume   357 Å³ per cell

The structure in CIF format:
```
data_InHg3Te4Pb
_chemical_formula_sum 'In1 Hg3 Te4 Pb1'
_space_group_name_H-M_alt 'P 1'
_space_group_IT_number 1
_space_group_name_Hall 'P 1'
_cell_length_a 7.0944
_cell_length_b 7.0944
_cell_length_c 7.0944
_cell_angle_alpha 90.00
_cell_angle_beta 90.00
_cell_angle_gamma 90.00
loop_
_atom_site_label
_atom_site_type_symbol
_atom_site_fract_x
_atom_site_fract_y
_atom_site_fract_z
_atom_site_occupancy
Hg1 Hg 0.5000 0.5000 0.0000 1
Hg2 Hg 0.5000 0.0000 0.5000 1
Hg3 Hg 0.0000 0.5000 0.5000 1
In1 In 0.0000 0.0000 0.0000 1
Pb1 Pb 0.5000 0.5000 0.5000 1
Te1 Te 0.2508 0.2508 0.2508 1
Te2 Te 0.7492 0.7492 0.2508 1
Te3 Te 0.7492 0.2508 0.7492 1
Te4 Te 0.2508 0.7492 0.7492 1
```



(6)
The following is a PBE-GGA calculation of a relaxed InHgPd2 crystal, from the Open Quantum Materials Database.

Theoretical density   12.37 g/cm³
Calculated volume   142 Å³ per cell

The structure in CIF format:
```
data_InHgPd2
_chemical_formula_sum 'In2 Hg2 Pd4'
_space_group_name_H-M_alt 'P 1'
_space_group_IT_number 1
_space_group_name_Hall 'P 1'
_cell_length_a 5.7640
_cell_length_b 5.7640
_cell_length_c 6.0712
_cell_angle_alpha 121.78
_cell_angle_beta 121.78
_cell_angle_gamma 63.57
loop_
_atom_site_label
_atom_site_type_symbol
_atom_site_fract_x
_atom_site_fract_y
_atom_site_fract_z
_atom_site_occupancy
Hg1 Hg 0.2499 0.2499 0.2500 1
Hg2 Hg 0.7501 0.7501 0.7500 1
In1 In 0.7500 0.7500 0.2501 1
In2 In 0.2500 0.2500 0.7499 1
Pd1 Pd 0.7498 0.2499 0.2499 1
Pd2 Pd 0.2499 0.7498 0.2499 1
Pd3 Pd 0.7501 0.2502 0.7501 1
Pd4 Pd 0.2502 0.7501 0.7501 1
```



no.,final energy (eV/atom)
1,-3.310
2,-3.019
3,-2.333
4,-2.436
5,-2.242
6,-3.667